{
  "formula": "TbTm7In2",
  "functional": "PBE",
  "state": "relaxed",
  "dos_ef_per_ev_cell": 19.2,
  "ef_ev_per_atom": 0.360,
  "total_energy_ev_per_cell": -37.807,
  "sg": "Cmmm",
  "cell": [[-3.407, 0.619, -4.114], [-2.056, -8.590, 0.412], [-4.744, 5.722, 4.790]],
  "species": ["Tb", "Tm", "Tm", "Tm", "Tm", "Tm", "Tm", "Tm", "In", "In"],
  "frac_coords": [[0.000, 0.000, 0.000], [0.000, 0.772, 0.228], [0.000, 0.228, 0.772], [0.500, 0.059, 0.302], [0.500, 0.941, 0.698], [0.500, 0.302, 0.059], [0.500, 0.698, 0.941], [0.500, 0.500, 0.500], [0.500, 0.696, 0.304], [0.500, 0.304, 0.696]]
}